DFT (PBE) results for a relaxed structure of Mn2AgMo.

Cell: 4.589 4.589 5.149 Å, 83.34 83.34 34.51°
Each line ends with the local moment (μB).
Positions (direct):
Mn: 0.500 0.500 0.522  3.06
Mn: 0.000 0.000 0.978  3.06
Ag: 0.250 0.250 0.250  0.03
Mo: 0.750 0.750 0.750  -0.61

- DOS(E_F): 3.49 states/eV per cell
- Formation energy from the elements: 439 meV per atom
- Relative energy among the computed polymorphs: 153 meV/atom



DFT (PBE) results for a relaxed structure of Y2CoOs.

Cell: 4.743 4.743 4.743 Å, 60.00 60.00 60.00°
Each line ends with the local moment (μB).
Positions (direct):
Os: 0.250 0.250 0.250  0.55
Y: 0.750 0.750 0.750  -0.15
Y: 0.000 0.000 0.000  -0.04
Co: 0.500 0.500 0.500  1.58

- DOS(E_F): 4.59 states/eV per cell
- Formation energy from the elements: 297 meV per atom



Number 1: total energy -7.566 eV per atom, volume 61.0 Å³/cell. Number 2: total energy -7.519 eV per atom, volume 75.4 Å³/cell.